Material: V4GeS8
Method: DFT, PBE-GGA
State: optimized geometry

Computed properties:
VASP energy = -6.54 eV per atom
total magnetic moment = 1.94 μB per formula unit
DOS at the Fermi energy = 0.49 states/eV/atom
calculated volume = 226.84 Å³/cell

a b c (Å): 6.8460 6.8460 6.8460
angles (deg): 120.44 119.57 89.99
With the nearest neighbours (Å) after each atom.
Sites, in units of the cell vectors:
V (0.2062, 0.0087, 0.8026)  3 S 2.27-2.28
V (0.2062, 0.4036, 0.1974)  3 S 2.27-2.28
V (0.2097, 0.0000, 0.2097)  3 S 2.28
V (0.7903, 0.0000, 0.7903)  3 S 2.28
Ge (0.6072, 0.6072, 0.0000)  4 S 2.29
S (0.0150, 0.7399, 0.2751)  1 Ge 2.29, 1 V 2.56
S (0.4649, 0.7399, 0.7249)  1 Ge 2.29, 1 V 2.56
S (0.4668, 0.1957, 0.7289)  1 Ge 2.29, 2 V 2.55
S (0.4668, 0.7379, 0.2711)  1 Ge 2.29, 2 V 2.55
S (0.4954, 0.2328, 0.2626)  3 V 2.27-2.28
S (0.9702, 0.2328, 0.7374)  3 V 2.27-2.28
S (0.9742, 0.2302, 0.2559)  3 V 2.28
S (0.9742, 0.7183, 0.7441)  3 V 2.28



Material: SmTlAgTe2
Method: DFT, PBE-GGA
State: optimized geometry

Computed properties:
VASP energy = -3.79 eV per atom
total magnetic moment = 0.00 μB per formula unit
DOS at the Fermi energy = 0.48 states/eV/atom
calculated volume = 351.22 Å³/cell

a b c (Å): 8.1580 5.1541 8.4865
angles (deg): 90.00 100.18 90.00
With the nearest neighbours (Å) after each atom.
Sites, in units of the cell vectors:
Sm (0.0000, 0.0051, 0.2500)  4 Te 3.09-3.10, 4 Ag 3.32-3.36
Sm (0.0000, 0.9949, 0.7500)  4 Te 3.09-3.10, 4 Ag 3.32-3.36
Tl (0.5000, 0.3445, 0.7500)  6 Te 3.47-3.55
Tl (0.5000, 0.6555, 0.2500)  6 Te 3.47-3.55
Ag (0.0000, 0.5000, 0.0000)  2 Te 2.79
Ag (0.0000, 0.5000, 0.5000)  2 Te 2.79
Te (0.2636, 0.1486, 0.0430)  1 Ag 2.79, 2 Sm 3.09-3.10
Te (0.2636, 0.8514, 0.5430)  1 Ag 2.79, 2 Sm 3.09-3.10
Te (0.7364, 0.1486, 0.4570)  1 Ag 2.79, 2 Sm 3.09-3.10
Te (0.7364, 0.8514, 0.9570)  1 Ag 2.79, 2 Sm 3.09-3.10



Material: PmEuAlAg
Method: DFT, PBE-GGA
State: optimized geometry

Computed properties:
VASP energy = -5.66 eV per atom
total magnetic moment = 6.92 μB per formula unit
DOS at the Fermi energy = 2.38 states/eV/atom
calculated volume = 106.95 Å³/cell
formation enthalpy at 0 K = -0.256 eV/atom

a b c (Å): 5.3280 5.3280 5.3280
angles (deg): 60.00 60.00 60.00
With the nearest neighbours (Å) after each atom.
Sites, in units of the cell vectors:
Pm (0.0000, 0.0000, 0.0000)  4 Ag 3.26, 4 Al 3.26
Eu (0.5000, 0.5000, 0.5000)  4 Al 3.26, 4 Ag 3.26
Al (0.2500, 0.2500, 0.2500)  4 Eu 3.26, 4 Pm 3.26
Ag (0.7500, 0.7500, 0.7500)  4 Eu 3.26, 4 Pm 3.26